Entry from the Alexandria database: crystalline NaGaTe2N at its relaxed geometry (PBEsol).

a b c (Å): 5.5256 5.5256 4.3631
angles (deg): 90.00 90.00 90.00
Sites, in units of the cell vectors:
1 Na 0.0000 0.0000 0.0000
2 Ga 0.5000 0.5000 0.5000
3 Te 0.0000 0.5000 0.0000
4 Te 0.5000 0.0000 0.0000
5 N 0.0000 0.0000 0.5000

Output
The energy relative to the elements, uncorrected is 1.144 eV/atom. The calculation puts the total magnetization at 2.8 μB per cell. The value obtained for the total energy is -2.919 eV/atom. Its space group is P4/mmm (123).